# Al4CdMo

A relaxed Al4CdMo crystal (GGA-PBE, the Alexandria database).

CIF file:
```
data_Al4CdMo
_chemical_formula_sum 'Al16 Cd4 Mo4'
_cell_length_a 7.333
_cell_length_b 7.333
_cell_length_c 7.333
_cell_angle_alpha 90.00
_cell_angle_beta 90.00
_cell_angle_gamma 90.00
_symmetry_space_group_name_H-M 'F -4 3 m'
_symmetry_Int_Tables_number 216
_symmetry_space_group_name_Hall 'F -4 2 3'
loop_
_atom_site_label
_atom_site_fract_x
_atom_site_fract_y
_atom_site_fract_z
Al1 0.125 0.125 0.125
Cd1 0.000 0.000 0.500
Mo1 0.250 0.250 0.750
```

* DOS at the Fermi energy: 0.54 states/eV/atom
* final energy: -4.364 eV/atom
* E_form: 0.09 eV per atom